Density functional theory data (PBE) for a geometry-optimized LiCrP structure.

```
LiCrP
1.0
6.509 0.000 -0.004
0.000 4.420 0.000
-0.252 0.000 5.498
Li Cr P
4 4 4
direct
0.000 0.754 0.000 Li
0.000 0.746 0.500 Li
0.000 0.254 0.500 Li
0.000 0.246 0.000 Li
0.605 0.000 0.146 Cr
0.395 0.000 0.854 Cr
0.605 0.500 0.646 Cr
0.395 0.500 0.354 Cr
0.270 0.500 0.768 P
0.730 0.500 0.232 P
0.730 0.000 0.732 P
0.270 0.000 0.268 P
```

Values from the calculation:
ΔE_f = -0.310 eV/atom
space-group type = C2/m, No. 12
N(E_F) = 0.44 states/eV per atom
magnetization = 0.0 μB per formula unit